Record 1
LaPm2Ag | GGA-PBE | relaxed

Cell: 5.466 5.466 5.466 Å, 60.00 60.00 60.00°
Fractional positions:
La  0.000  0.000  0.000
Pm  0.250  0.250  0.250
Pm  0.750  0.750  0.750
Ag  0.500  0.500  0.500

- ΔE_f (meV per atom) = 77.4
- total DFT energy (no corrections) (eV per cell) = -17.0
- magnetic moment (μB/f.u.) = 2.00
- V (Å³ per cell) = 115.46

=====

Record 2
La2Pm3Ag2 | GGA-PBE | relaxed

Cell: 6.897 6.897 9.558 Å, 115.07 115.07 32.50°
Fractional positions:
La  0.148  0.148  0.314
La  0.852  0.852  0.686
Pm  0.386  0.386  0.052
Pm  0.500  0.500  0.500
Pm  0.614  0.614  0.948
Ag  0.168  0.168  0.730
Ag  0.832  0.832  0.270

- ΔE_f (meV per atom) = -121.2
- total DFT energy (no corrections) (eV per cell) = -30.7
- magnetic moment (μB/f.u.) = 0.00
- V (Å³ per cell) = 219.21

=====

Record 3
LaPm2Ag6 | GGA-PBE | relaxed

Cell: 8.680 8.680 8.680 Å, 155.70 124.59 61.37°
Fractional positions:
La  0.000  0.000  0.000
Pm  0.358  0.858  0.500
Pm  0.642  0.142  0.500
Ag  0.005  0.324  0.681
Ag  0.321  0.500  0.821
Ag  0.356  0.676  0.681
Ag  0.644  0.324  0.319
Ag  0.679  0.500  0.179
Ag  0.995  0.676  0.319

- ΔE_f (meV per atom) = -200.8
- total DFT energy (no corrections) (eV per cell) = -33.3
- magnetic moment (μB/f.u.) = 0.00
- V (Å³ per cell) = 220.14

=====

Record 4
LaPm2Ag | GGA-PBE | relaxed

Cell: 5.657 5.657 3.679 Å, 90.00 90.00 90.00°
Fractional positions:
La  0.000  0.000  0.000
Pm  0.000  0.500  0.500
Pm  0.500  0.000  0.500
Ag  0.500  0.500  0.000

- ΔE_f (meV per atom) = 2.9
- total DFT energy (no corrections) (eV per cell) = -17.3
- magnetic moment (μB/f.u.) = 0.00
- V (Å³ per cell) = 117.74

=====

Record 5
La2Pm3Ag2 | GGA-PBE | relaxed

Cell: 16.090 16.090 3.679 Å, 90.00 90.00 166.89°
Fractional positions:
La  0.202  0.798  0.000
La  0.798  0.202  0.000
Pm  0.381  0.619  0.500
Pm  0.500  0.500  0.500
Pm  0.619  0.381  0.500
Ag  0.060  0.940  0.000
Ag  0.940  0.060  0.000

- ΔE_f (meV per atom) = -89.9
- total DFT energy (no corrections) (eV per cell) = -30.4
- magnetic moment (μB/f.u.) = 0.00
- V (Å³ per cell) = 215.99

=====

Record 6
LaPm4Ag4 | GGA-PBE | relaxed

Cell: 9.719 9.719 6.019 Å, 90.00 90.00 90.00°
Fractional positions:
La  0.250  0.250  0.250
La  0.750  0.750  0.750
Pm  0.088  0.659  0.149
Pm  0.159  0.912  0.649
Pm  0.341  0.588  0.649
Pm  0.412  0.841  0.149
Pm  0.588  0.159  0.851
Pm  0.659  0.412  0.351
Pm  0.841  0.088  0.351
Pm  0.912  0.341  0.851
Ag  0.026  0.610  0.645
Ag  0.110  0.974  0.145
Ag  0.390  0.526  0.145
Ag  0.474  0.890  0.645
Ag  0.526  0.110  0.355
Ag  0.610  0.474  0.855
Ag  0.890  0.026  0.855
Ag  0.974  0.390  0.355

- ΔE_f (meV per atom) = -23.0
- total DFT energy (no corrections) (eV per cell) = -71.1
- magnetic moment (μB/f.u.) = 0.00
- V (Å³ per cell) = 568.56

=====

Record 7
La8Pm2Ag | GGA-PBE | relaxed

Cell: 10.366 10.366 6.622 Å, 93.42 93.42 32.76°
Fractional positions:
La  0.038  0.038  0.252
La  0.155  0.155  0.798
La  0.343  0.343  0.876
La  0.420  0.420  0.392
La  0.580  0.580  0.608
La  0.657  0.657  0.124
La  0.845  0.845  0.202
La  0.962  0.962  0.748
Pm  0.237  0.237  0.332
Pm  0.763  0.763  0.668
Ag  0.500  0.500  0.000

- ΔE_f (meV per atom) = -13.3
- total DFT energy (no corrections) (eV per cell) = -51.9
- magnetic moment (μB/f.u.) = 0.00
- V (Å³ per cell) = 384.26

=====

Record 8
La2PmAg3 | GGA-PBE | relaxed

Cell: 3.772 3.772 11.506 Å, 90.00 90.00 90.00°
Fractional positions:
La  0.000  0.000  0.169
La  0.000  0.000  0.831
Pm  0.000  0.000  0.500
Ag  0.500  0.500  0.000
Ag  0.500  0.500  0.344
Ag  0.500  0.500  0.656

- ΔE_f (meV per atom) = -263.0
- total DFT energy (no corrections) (eV per cell) = -24.7
- magnetic moment (μB/f.u.) = 0.00
- V (Å³ per cell) = 163.69

=====

Among the records above, which one has the highest magnetic moment? number 1

=====

Among the records above, which one has the highest V? LaPm4Ag4